Entry 1:
This record from Alexandria describes InPW2 after structural relaxation. The functional is GGA-PBE.

Summary:
Distance to the lowest polymorph of the same formula: 0.92 eV per formula unit
Crystal system: monoclinic
Energy relative to the elements: 320 meV/atom
Total magnetization: 0.00 μB per cell
Volume: 17.52 Å³/atom
Symmetry: Pm (6)

Geometry as CIF:
```
data_InPW2
_cell_length_a 4.529
_cell_length_b 3.054
_cell_length_c 5.291
_cell_angle_alpha 73.24
_cell_angle_beta 90.00
_cell_angle_gamma 90.00
_symmetry_space_group_name_H-M 'P 1'
_symmetry_Int_Tables_number 1
loop_
_symmetry_equiv_pos_as_xyz
'x,y,z'
loop_
_atom_site_label
_atom_site_fract_x
_atom_site_fract_y
_atom_site_fract_z
_atom_site_occupancy
W1 0.000 0.819 0.991 1
W2 0.500 0.220 0.183 1
In1 0.000 0.553 0.520 1
P1 0.500 0.908 0.806 1
```

Entry 2:
This record from Alexandria describes Cs2ThBr8 after structural relaxation. The functional is GGA-PBE.

Summary:
E_form (uncorrected): -1470.1 meV/atom
Crystal system: monoclinic
Total magnetization: 0.00 μB per cell
Volume: 52.10 Å³/atom
Symmetry: C2/m (12)

Geometry as CIF:
```
data_Cs2ThBr8
_cell_length_a 8.665
_cell_length_b 10.039
_cell_length_c 10.039
_cell_angle_alpha 74.14
_cell_angle_beta 54.31
_cell_angle_gamma 54.31
_symmetry_space_group_name_H-M 'P 1'
_symmetry_Int_Tables_number 1
loop_
_symmetry_equiv_pos_as_xyz
'x,y,z'
loop_
_atom_site_label
_atom_site_fract_x
_atom_site_fract_y
_atom_site_fract_z
_atom_site_occupancy
Th1 0.000 0.000 0.000 1
Cs1 0.183 0.217 0.217 1
Cs2 0.817 0.783 0.783 1
Br1 0.704 0.260 0.260 1
Br2 0.267 0.819 0.140 1
Br3 0.733 0.181 0.860 1
Br4 0.267 0.140 0.819 1
Br5 0.798 0.566 0.566 1
Br6 0.733 0.860 0.181 1
Br7 0.296 0.740 0.740 1
Br8 0.202 0.434 0.434 1
```